Be2CdIn after structural relaxation. Source: Alexandria, functional PBE.

Unit cell a=4.5943 b=4.5943 c=4.5943 alpha=60.00 beta=60.00 gamma=60.00
Last column: nearest neighbours and their distance in Å.
Positions (direct):
Cd  0.5000  0.5000  0.5000  4 In 2.81, 4 Be 2.81
In  0.7500  0.7500  0.7500  4 Cd 2.81, 4 Be 2.81
Be  0.2500  0.2500  0.2500  4 Cd 2.81, 4 Be 2.81
Be  0.0000  0.0000  0.0000  4 In 2.81, 4 Be 2.81

Values from the calculation:
- density (g/cm³) = 5.939
- N(E_F) (states/eV/f.u.) = 1.73
- E_form (meV/atom) = 743
- SG = F-43m